{
  "formula": "KHg2Pb2",
  "functional": "SCAN",
  "state": "PBEsol geometry",
  "cell": [[3.5377, 0.0000, 0.0000], [0.0000, 9.0358, 0.0000], [0.0000, 0.0000, 9.0358]],
  "species": ["Pb", "Pb", "Pb", "Pb", "K", "K", "Hg", "Hg", "Hg", "Hg"],
  "frac_coords": [[0.0000, 0.3705, 0.8705], [0.0000, 0.8705, 0.6295], [0.0000, 0.6295, 0.1295], [0.0000, 0.1295, 0.3705], [0.0000, 0.0000, 0.0000], [0.0000, 0.5000, 0.5000], [0.5000, 0.1662, 0.6662], [0.5000, 0.6662, 0.8338], [0.5000, 0.8338, 0.3338], [0.5000, 0.3338, 0.1662]],
  "e_above_lowest_polymorph_mev_per_atom": 50.5,
  "formation_energy_mev_per_atom": -132,
  "sg": "P4/mbm"
}

{
  "formula": "Ca4FeMo",
  "functional": "SCAN",
  "state": "PBEsol geometry",
  "cell": [[6.1520, 0.0000, 0.0000], [3.0760, 5.3278, 0.0000], [3.0760, 1.7759, 5.0231]],
  "species": ["Ca", "Ca", "Ca", "Ca", "Fe", "Mo"],
  "frac_coords": [[0.3750, 0.3750, 0.3750], [0.3750, 0.3750, 0.8750], [0.8750, 0.3750, 0.3750], [0.3750, 0.8750, 0.3750], [0.7500, 0.7500, 0.7500], [0.0000, 0.0000, 0.0000]],
  "formation_energy_mev_per_atom": 1279,
  "sg": "F-43m"
}

{
  "formula": "ReOs",
  "functional": "SCAN",
  "state": "PBEsol geometry",
  "cell": [[-1.3174, -1.3074, 1.9978], [-2.3656, -2.1126, -2.9425], [5.4407, -2.1278, 0.3342]],
  "species": ["Os", "Os", "Re", "Re"],
  "frac_coords": [[0.9217, 0.6717, 0.8434], [0.0783, 0.3283, 0.1566], [0.3567, 0.1067, 0.7134], [0.6433, 0.8933, 0.2866]],
  "e_above_lowest_polymorph_mev_per_atom": 536.2,
  "formation_energy_mev_per_atom": 422,
  "sg": "Imma"
}

{
  "formula": "CsSrSI2",
  "functional": "SCAN",
  "state": "PBEsol geometry",
  "cell": [[6.4975, 0.0000, 0.0000], [0.0000, 6.4975, 0.0000], [0.0000, 0.0000, 7.2347]],
  "species": ["Cs", "I", "I", "S", "Sr"],
  "frac_coords": [[0.0000, 0.0000, 0.0000], [0.0000, 0.5000, 0.0000], [0.5000, 0.0000, 0.0000], [0.5000, 0.5000, 0.5000], [0.0000, 0.0000, 0.5000]],
  "formation_energy_uncorrected_ev_per_atom": 0.00,
  "sg": "P4/mmm"
}

{
  "formula": "Mg3Hg",
  "functional": "SCAN",
  "state": "PBEsol geometry",
  "cell": [[5.4982, 0.0000, 0.0000], [0.0000, 5.4982, 0.0000], [0.0000, 0.0000, 5.4982]],
  "species": ["Mg", "Mg", "Mg", "Mg", "Mg", "Mg", "Hg", "Hg"],
  "frac_coords": [[0.0000, 0.2500, 0.5000], [0.0000, 0.7500, 0.5000], [0.2500, 0.5000, 0.0000], [0.5000, 0.0000, 0.2500], [0.5000, 0.0000, 0.7500], [0.7500, 0.5000, 0.0000], [0.0000, 0.0000, 0.0000], [0.5000, 0.5000, 0.5000]],
  "formation_energy_mev_per_atom": -237,
  "sg": "Pm-3n"
}

{
  "formula": "LaAlPb",
  "functional": "SCAN",
  "state": "PBEsol geometry",
  "cell": [[3.7281, 0.0272, 0.0000], [-0.5268, 3.6907, 0.0000], [-1.6006, -1.8589, 5.8019]],
  "species": ["Pb", "Al", "La"],
  "frac_coords": [[0.6424, 0.6424, 0.2848], [0.0158, 0.0158, 0.0317], [0.3418, 0.3418, 0.6836]],
  "formation_energy_mev_per_atom": -361,
  "sg": "Fmm2"
}

{
  "formula": "Ag9Te4Br3",
  "functional": "SCAN",
  "state": "PBEsol geometry",
  "cell": [[7.5288, 0.2373, 0.1142], [3.3790, 6.7781, 0.0532], [0.1455, 0.1001, 7.6562]],
  "species": ["Ag", "Ag", "Ag", "Ag", "Ag", "Ag", "Ag", "Ag", "Ag", "Te", "Te", "Te", "Te", "Br", "Br", "Br"],
  "frac_coords": [[0.1743, 0.7793, 0.8936], [0.9374, 0.7083, 0.4297], [0.6651, 0.3173, 0.2891], [0.9229, 0.3874, 0.6483], [0.2762, 0.0251, 0.6102], [0.5325, 0.0266, 0.3140], [0.7041, 0.6547, 0.1420], [0.0733, 0.3084, 0.2788], [0.7495, 0.0446, 0.9978], [0.0390, 0.9642, 0.2266], [0.9103, 0.0200, 0.6567], [0.3183, 0.3693, 0.5033], [0.5861, 0.6656, 0.4830], [0.5293, 0.4710, 0.9437], [0.4427, 0.9883, 0.9454], [0.0315, 0.4864, 0.9472]],
  "formation_energy_uncorrected_ev_per_atom": -0.16,
  "sg": "P1"
}

{
  "formula": "La2BeTl",
  "functional": "SCAN",
  "state": "PBEsol geometry",
  "cell": [[-4.5384, 0.5176, 2.7712], [-2.0122, -4.1883, 2.6370], [0.1055, -0.0957, 5.3408]],
  "species": ["Be", "Tl", "La", "La"],
  "frac_coords": [[0.0000, 0.0000, 0.0000], [0.5000, 0.5000, 0.5000], [0.2500, 0.2500, 0.2500], [0.7500, 0.7500, 0.7500]],
  "e_above_lowest_polymorph_mev_per_atom": 46.7,
  "formation_energy_mev_per_atom": -167,
  "sg": "Fm-3m"
}

no.,V (Å³ per cell)
1,288.8
2,164.6
3,62.1
4,305.4
5,166.2
6,79.9
7,384.5
8,107.8